Version 1
Below is a relaxed structure of Pu2MnAs, with properties calculated at the PBE level.

Values from the calculation:
For the volume, the calculation gives 20.05 A^3/atom.

Geometry as POSCAR:
```
Pu2MnAs
1.0
-3.6431 0.2121 1.8858
-0.5305 -4.3534 -0.5351
1.9710 -0.7181 3.8883
Mn Pu As
1 2 1
Cartesian
-1.8215 0.1061 0.9429
0.9855 -0.3591 1.9442
-0.2652 -2.1767 -0.2676
-1.1013 -2.4297 2.6195
```


Version 2
Below is a relaxed structure of Pu2MnAs, with properties calculated at the PBE level.

Values from the calculation:
For the volume, the calculation gives 20.23 A^3/atom.

Geometry as POSCAR:
```
Pu2MnAs
1.0
3.7774 0.0000 0.0000
0.0000 3.7774 0.0000
0.0000 0.0000 5.6697
Pu Mn As
2 1 1
Cartesian
0.0000 0.0000 4.2865
0.0000 0.0000 1.3831
1.8887 1.8887 2.8348
1.8887 1.8887 0.0000
```


Most favorable structure: version 2. The second most favorable one is 18 meV per atom above it.


Version 1
Below is a relaxed structure of RbMnAs3, with properties calculated at the PBE level.

Values from the calculation:
For the volume, the calculation gives 23.78 A^3/atom.

Geometry as POSCAR:
```
RbMnAs3
1.0
-4.4092 1.9252 -1.0151
-0.2516 -2.7289 -4.0826
-2.1618 -3.6090 2.5455
As Rb Mn
3 1 1
Cartesian
-1.0809 -1.8045 1.2727
-2.2046 0.9626 -0.5075
-0.1258 -1.3644 -2.0413
-3.4113 -2.2063 -1.2761
0.0000 0.0000 0.0000
```


Version 2
Below is a relaxed structure of RbMnAs3, with properties calculated at the PBE level.

Values from the calculation:
For the volume, the calculation gives 33.90 A^3/atom.

Geometry as POSCAR:
```
RbMnAs3
1.0
-2.8880 2.7560 3.8332
-0.3880 -4.6169 3.0271
4.7051 1.3109 2.6024
As Mn Rb
3 1 1
Cartesian
-0.1940 -2.3084 1.5135
-1.4440 1.3780 1.9166
2.3526 0.6554 1.3012
0.7146 -0.2750 4.7314
0.0000 0.0000 0.0000
```


Most favorable structure: version 1. The second most favorable one is 1789 meV per atom above it.


Version 1
Below is a relaxed structure of RbMnAs2, with properties calculated at the PBE level.

Values from the calculation:
For the volume, the calculation gives 24.94 A^3/atom.

Geometry as POSCAR:
```
RbMnAs2
1.0
-1.8997 -3.3116 -1.0152
0.5159 -3.2993 2.1106
-6.1086 -0.2996 4.7219
As Mn Rb
2 1 1
Cartesian
-6.2057 -4.9851 4.8155
-1.2867 -1.9253 1.0019
0.0000 0.0000 0.0000
-3.7462 -3.4552 2.9087
```


Version 2
Below is a relaxed structure of RbMnAs2, with properties calculated at the PBE level.

Values from the calculation:
For the volume, the calculation gives 20.07 A^3/atom.

Geometry as POSCAR:
```
RbMnAs2
1.0
-4.4792 0.2098 1.8275
-3.7082 1.3118 -2.8242
-3.3113 -3.2754 -1.3247
Rb Mn As
1 1 2
Cartesian
-5.7494 -0.8769 -1.1607
0.0000 0.0000 0.0000
-2.8747 -0.4384 -0.5804
-8.6240 -1.3153 -1.7411
```


Version 3
Below is a relaxed structure of RbMnAs2, with properties calculated at the PBE level.

Values from the calculation:
For the volume, the calculation gives 30.64 A^3/atom.

Geometry as POSCAR:
```
RbMnAs2
1.0
6.4200 0.0000 0.0000
0.0000 6.4200 0.0000
3.2100 3.2100 5.9461
As Rb Mn
4 2 2
Cartesian
8.0250 6.4198 4.4596
3.2103 4.8150 1.4865
3.2098 1.6050 1.4865
4.8150 6.4203 4.4596
0.0000 0.0000 0.0000
6.4200 3.2100 2.9731
3.2100 6.4200 2.9731
3.2100 3.2100 0.0000
```


Most favorable structure: version 1. The second most favorable one is 27 meV per atom above it.


Version 1
Below is a relaxed structure of RbMnAs2Se, with properties calculated at the PBE level.

Values from the calculation:
For the volume, the calculation gives 35.96 A^3/atom.

Geometry as POSCAR:
```
RbMnAs2Se
1.0
5.6023 0.0000 0.0000
0.0000 5.6023 0.0000
0.0000 0.0000 5.7279
Se As Rb Mn
1 2 1 1
Cartesian
0.0000 0.0000 2.8640
2.8012 0.0000 0.0000
0.0000 2.8012 0.0000
0.0000 0.0000 0.0000
2.8012 2.8012 2.8640
```


Version 2
Below is a relaxed structure of RbMnAs2Se, with properties calculated at the PBE level.

Values from the calculation:
For the volume, the calculation gives 24.66 A^3/atom.

Geometry as POSCAR:
```
RbMnAs2Se
1.0
4.7938 0.0000 0.0000
0.0000 4.7938 0.0000
0.0000 0.0000 5.3653
As Rb Se Mn
2 1 1 1
Cartesian
0.0000 2.3969 0.0000
2.3969 0.0000 0.0000
2.3969 2.3969 2.6826
0.0000 0.0000 2.6826
0.0000 0.0000 0.0000
```


Most favorable structure: version 2. The second most favorable one is 1761 meV per atom above it.


Version 1
Below is a relaxed structure of MnReAs2Se, with properties calculated at the PBE level.

Values from the calculation:
For the volume, the calculation gives 19.55 A^3/atom.

Geometry as POSCAR:
```
MnReAs2Se
1.0
4.5097 0.0000 0.0000
0.0000 4.5097 0.0000
0.0000 0.0000 4.8064
Se As Mn Re
1 2 1 1
Cartesian
0.0000 0.0000 2.4032
2.2548 0.0000 0.0000
0.0000 2.2548 0.0000
0.0000 0.0000 0.0000
2.2548 2.2548 2.4032
```


Version 2
Below is a relaxed structure of MnReAs2Se, with properties calculated at the PBE level.

Values from the calculation:
For the volume, the calculation gives 24.49 A^3/atom.

Geometry as POSCAR:
```
MnReAs2Se
1.0
4.6704 0.0000 0.0000
0.0000 4.6704 0.0000
0.0000 0.0000 5.6129
Mn Re As Se
1 1 2 1
Cartesian
2.3352 2.3352 2.8065
0.0000 0.0000 0.0000
0.0000 2.3352 0.0000
2.3352 0.0000 0.0000
0.0000 0.0000 2.8065
```


Most favorable structure: version 2. The second most favorable one is 388 meV per atom above it.


Version 1
Below is a relaxed structure of MnAs2Rh, with properties calculated at the PBE level.

Values from the calculation:
For the volume, the calculation gives 15.55 A^3/atom.

Geometry as POSCAR:
```
MnAs2Rh
1.0
4.1989 0.0092 0.0065
3.1069 2.8245 0.0065
1.1369 0.4410 5.2590
Rh Mn As
1 1 2
Cartesian
2.1107 0.8187 1.3180
6.3320 2.4560 3.9540
4.2417 1.6452 2.6538
8.4223 3.2667 5.2541
```


Version 2
Below is a relaxed structure of MnAs2Rh, with properties calculated at the PBE level.

Values from the calculation:
For the volume, the calculation gives 17.16 A^3/atom.

Geometry as POSCAR:
```
MnAs2Rh
1.0
-2.3634 -1.4596 -3.1495
3.2266 0.4813 -2.6443
2.8048 -7.7343 -1.3200
Mn Rh As
2 2 4
Cartesian
3.2315 -3.8711 -3.4306
0.4316 -0.4891 -2.8969
0.4365 -4.8415 -3.6832
0.0000 0.0000 0.0000
2.8652 -6.6558 -6.0647
-0.3772 -2.7885 -2.6351
2.4270 -1.8123 -2.3703
2.4210 -6.1685 -3.1575
```


Most favorable structure: version 2. The second most favorable one is 15 meV per atom above it.


Version 1
Below is a relaxed structure of MnAs2Rh, with properties calculated at the PBE level.

Values from the calculation:
For the volume, the calculation gives 16.83 A^3/atom.

Geometry as POSCAR:
```
MnAs2Rh
1.0
-0.8790 -4.8670 -5.9334
-3.1974 -5.8374 -3.9200
-3.7154 -3.3427 -5.8895
As Mn Rh
2 1 1
Cartesian
-0.0757 -0.1365 -0.1530
-1.8684 -3.3684 -3.7751
-3.9288 -7.0828 -7.9379
-5.8148 -10.4829 -11.7485
```


Version 2
Below is a relaxed structure of MnAs2Rh, with properties calculated at the PBE level.

Values from the calculation:
For the volume, the calculation gives 15.36 A^3/atom.

Geometry as POSCAR:
```
MnAs2Rh
1.0
-4.3831 -1.7205 -0.1062
1.0432 -2.7224 1.0477
-0.6034 1.2926 3.9619
As Rh Mn
2 1 1
Cartesian
-1.9650 -1.5284 1.4216
0.3215 -1.1154 4.8000
-1.7349 -2.2650 3.8572
0.0948 -0.3860 2.3390
```


Version 3
Below is a relaxed structure of MnAs2Rh, with properties calculated at the PBE level.

Values from the calculation:
For the volume, the calculation gives 15.16 A^3/atom.

Geometry as POSCAR:
```
MnAs2Rh
1.0
-2.1838 0.9597 -3.7607
2.0547 -3.3727 -2.0581
-2.2600 -1.8842 0.8315
Mn As Rh
1 2 1
Cartesian
-2.2219 -0.4623 -1.4646
-0.0645 -1.2065 -2.9094
0.0000 0.0000 0.0000
-0.1026 -2.6285 -0.6133
```


Most favorable structure: version 2. The second most favorable one is 67 meV per atom above it.


Version 1
Below is a relaxed structure of MnAs2Rh, with properties calculated at the PBE level.

Values from the calculation:
For the volume, the calculation gives 15.52 A^3/atom.

Geometry as POSCAR:
```
MnAs2Rh
1.0
4.6626 -0.0004 0.0031
3.4991 3.0816 0.0031
0.9994 0.3773 4.3203
Mn As Rh
1 2 1
Cartesian
4.5282 1.7095 2.4973
8.1889 3.0915 0.2653
6.8072 2.5698 2.8520
2.3790 0.8981 0.8811
```


Version 2
Below is a relaxed structure of MnAs2Rh, with properties calculated at the PBE level.

Values from the calculation:
For the volume, the calculation gives 15.46 A^3/atom.

Geometry as POSCAR:
```
MnAs2Rh
1.0
5.0981 -0.0188 0.0000
2.3236 4.5378 0.0000
-3.7109 -2.2595 2.6674
Rh As Mn
1 2 1
Cartesian
2.5490 -0.0094 1.3337
0.0000 0.0000 0.0000
1.1618 2.2689 1.3337
3.7109 2.2595 0.0000
```


Version 3
Below is a relaxed structure of MnAs2Rh, with properties calculated at the PBE level.

Values from the calculation:
For the volume, the calculation gives 15.37 A^3/atom.

Geometry as POSCAR:
```
MnAs2Rh
1.0
3.4354 0.0000 0.0000
0.0000 3.4354 0.0000
0.0000 0.0000 5.2094
As Rh Mn
2 1 1
Cartesian
0.0000 0.0000 4.9064
1.7177 1.7177 1.6348
1.7177 1.7177 4.1293
0.0000 0.0000 2.3531
```


Version 4
Below is a relaxed structure of MnAs2Rh, with properties calculated at the PBE level.

Values from the calculation:
For the volume, the calculation gives 15.96 A^3/atom.

Geometry as POSCAR:
```
MnAs2Rh
1.0
4.4857 0.0000 0.0000
2.2429 3.8848 0.0000
2.2429 1.2949 3.6626
Rh Mn As
1 1 2
Cartesian
2.2429 1.2949 0.9156
4.4857 2.5898 1.8313
6.7286 3.8848 2.7469
0.0000 0.0000 0.0000
```


Most favorable structure: version 3. The second most favorable one is 43 meV per atom above it.